{
  "formula": "Nd2P4Rh3",
  "functional": "PBE-GGA",
  "state": "relaxed",
  "spacegroup": "No. 69",
  "ef_ev_per_atom": -0.858,
  "dos_at_fermi_per_ev_cell": 4.975,
  "lattice": [[0.0000, 4.9354, 5.9461], [2.7653, 0.0000, 5.9461], [2.7653, 4.9354, 0.0000]],
  "species": ["Nd", "Nd", "P", "P", "P", "P", "Rh", "Rh", "Rh"],
  "frac_coords": [[0.1463, 0.1463, 0.8537], [0.8537, 0.8537, 0.1463], [0.1874, 0.5118, 0.4882], [0.4882, 0.8126, 0.1874], [0.5118, 0.1874, 0.8126], [0.8126, 0.4882, 0.5118], [0.0000, 0.0000, 0.5000], [0.5000, 0.5000, 0.0000], [0.5000, 0.5000, 0.5000]]
}


{
  "formula": "Ac3Tl4Hg3",
  "functional": "PBE-GGA",
  "state": "relaxed",
  "spacegroup": "No. 220",
  "ef_ev_per_atom": -0.323,
  "dos_at_fermi_per_ev_cell": 19.353,
  "lattice": [[-5.4264, 5.4264, 5.4264], [5.4264, -5.4264, 5.4264], [5.4264, 5.4264, -5.4264]],
  "species": ["Ac", "Ac", "Ac", "Ac", "Ac", "Ac", "Tl", "Tl", "Tl", "Tl", "Tl", "Tl", "Tl", "Tl", "Hg", "Hg", "Hg", "Hg", "Hg", "Hg"],
  "frac_coords": [[0.1250, 0.8750, 0.2500], [0.2500, 0.1250, 0.8750], [0.3750, 0.6250, 0.7500], [0.6250, 0.7500, 0.3750], [0.7500, 0.3750, 0.6250], [0.8750, 0.2500, 0.1250], [0.0000, 0.1895, 0.5000], [0.0000, 0.6895, 0.5000], [0.1895, 0.5000, 0.0000], [0.3105, 0.3105, 0.3105], [0.5000, 0.0000, 0.1895], [0.5000, 0.0000, 0.6895], [0.6895, 0.5000, 0.0000], [0.8105, 0.8105, 0.8105], [0.1250, 0.7500, 0.8750], [0.2500, 0.6250, 0.3750], [0.3750, 0.2500, 0.6250], [0.6250, 0.3750, 0.2500], [0.7500, 0.8750, 0.1250], [0.8750, 0.1250, 0.7500]]
}


{
  "formula": "Ba2PbSe2I2",
  "functional": "PBE-GGA",
  "state": "relaxed",
  "e_form_raw_ev_per_fu": -9.7,
  "spacegroup": "No. 139",
  "lattice": [[5.7594, 0.0000, 0.0000], [0.0000, 5.7594, 0.0000], [0.0000, 0.0000, 17.5465]],
  "species": ["Ba", "Ba", "Ba", "Ba", "Pb", "Pb", "Se", "Se", "Se", "Se", "I", "I", "I", "I"],
  "frac_coords": [[0.0000, 0.0000, 0.1123], [0.0000, 0.0000, 0.8877], [0.5000, 0.5000, 0.3877], [0.5000, 0.5000, 0.6123], [0.0000, 0.0000, 0.5000], [0.5000, 0.5000, 0.0000], [0.0000, 0.5000, 0.0000], [0.0000, 0.5000, 0.5000], [0.5000, 0.0000, 0.0000], [0.5000, 0.0000, 0.5000], [0.0000, 0.0000, 0.3103], [0.0000, 0.0000, 0.6897], [0.5000, 0.5000, 0.1897], [0.5000, 0.5000, 0.8103]]
}


{
  "formula": "Ac3Pt5Se12",
  "functional": "PBE-GGA",
  "state": "relaxed",
  "e_form_raw_ev_per_fu": -15.1,
  "spacegroup": "No. 230",
  "dos_at_fermi_per_ev_cell": 66.078,
  "lattice": [[-8.1148, 8.1148, 8.1148], [8.1148, -8.1148, 8.1148], [8.1148, 8.1148, -8.1148]],
  "species": ["Ac", "Ac", "Ac", "Ac", "Ac", "Ac", "Ac", "Ac", "Ac", "Ac", "Ac", "Ac", "Pt", "Pt", "Pt", "Pt", "Pt", "Pt", "Pt", "Pt", "Pt", "Pt", "Pt", "Pt", "Pt", "Pt", "Pt", "Pt", "Pt", "Pt", "Pt", "Pt", "Se", "Se", "Se", "Se", "Se", "Se", "Se", "Se", "Se", "Se", "Se", "Se", "Se", "Se", "Se", "Se", "Se", "Se", "Se", "Se", "Se", "Se", "Se", "Se", "Se", "Se", "Se", "Se", "Se", "Se", "Se", "Se", "Se", "Se", "Se", "Se", "Se", "Se", "Se", "Se", "Se", "Se", "Se", "Se", "Se", "Se", "Se", "Se"],
  "frac_coords": [[0.1250, 0.2500, 0.3750], [0.1250, 0.3750, 0.7500], [0.2500, 0.3750, 0.1250], [0.2500, 0.8750, 0.6250], [0.3750, 0.1250, 0.2500], [0.3750, 0.7500, 0.1250], [0.6250, 0.2500, 0.8750], [0.6250, 0.8750, 0.7500], [0.7500, 0.1250, 0.3750], [0.7500, 0.6250, 0.8750], [0.8750, 0.6250, 0.2500], [0.8750, 0.7500, 0.6250], [0.0000, 0.0000, 0.0000], [0.0000, 0.0000, 0.5000], [0.0000, 0.5000, 0.0000], [0.0000, 0.5000, 0.5000], [0.1250, 0.7500, 0.8750], [0.1250, 0.8750, 0.2500], [0.2500, 0.1250, 0.8750], [0.2500, 0.6250, 0.3750], [0.3750, 0.2500, 0.6250], [0.3750, 0.6250, 0.7500], [0.5000, 0.0000, 0.0000], [0.5000, 0.0000, 0.5000], [0.5000, 0.5000, 0.0000], [0.5000, 0.5000, 0.5000], [0.6250, 0.3750, 0.2500], [0.6250, 0.7500, 0.3750], [0.7500, 0.3750, 0.6250], [0.7500, 0.8750, 0.1250], [0.8750, 0.1250, 0.7500], [0.8750, 0.2500, 0.1250], [0.0247, 0.1998, 0.1141], [0.0247, 0.3249, 0.9106], [0.0857, 0.6998, 0.6751], [0.0857, 0.8859, 0.4106], [0.0894, 0.6141, 0.4143], [0.0894, 0.9753, 0.6751], [0.1141, 0.0247, 0.1998], [0.1141, 0.5894, 0.9143], [0.1751, 0.1998, 0.5857], [0.1751, 0.4753, 0.5894], [0.1998, 0.1141, 0.0247], [0.1998, 0.5857, 0.1751], [0.3002, 0.3249, 0.9143], [0.3002, 0.4753, 0.3859], [0.3249, 0.9106, 0.0247], [0.3249, 0.9143, 0.3002], [0.3859, 0.3002, 0.4753], [0.3859, 0.5857, 0.9106], [0.4106, 0.0857, 0.8859], [0.4106, 0.8249, 0.5247], [0.4143, 0.0894, 0.6141], [0.4143, 0.8249, 0.8002], [0.4753, 0.3859, 0.3002], [0.4753, 0.5894, 0.1751], [0.5247, 0.4106, 0.8249], [0.5247, 0.6141, 0.6998], [0.5857, 0.1751, 0.1998], [0.5857, 0.9106, 0.3859], [0.5894, 0.1751, 0.4753], [0.5894, 0.9143, 0.1141], [0.6141, 0.4143, 0.0894], [0.6141, 0.6998, 0.5247], [0.6751, 0.0857, 0.6998], [0.6751, 0.0894, 0.9753], [0.6998, 0.5247, 0.6141], [0.6998, 0.6751, 0.0857], [0.8002, 0.4143, 0.8249], [0.8002, 0.8859, 0.9753], [0.8249, 0.5247, 0.4106], [0.8249, 0.8002, 0.4143], [0.8859, 0.4106, 0.0857], [0.8859, 0.9753, 0.8002], [0.9106, 0.0247, 0.3249], [0.9106, 0.3859, 0.5857], [0.9143, 0.1141, 0.5894], [0.9143, 0.3002, 0.3249], [0.9753, 0.6751, 0.0894], [0.9753, 0.8002, 0.8859]]
}